No. 1
Below is an optimized crystal structure of KCuW, with properties calculated at the PBE level.

Summary:
Energy of formation: 1.09 eV/atom

Lattice parameters (Å, degrees): 2.8473 2.8473 8.2508 90.00 90.00 120.00
Space group P3m1 (No. 156)
Symmetry-distinct sites (fractional):
K 0.0000 0.0000 0.0000 (multiplicity 1)
Cu 0.3333 0.6667 0.6443 (multiplicity 1)
W 0.6667 0.3333 0.3846 (multiplicity 1)



No. 2
Below is an optimized crystal structure of KCu2W, with properties calculated at the PBE level.

Summary:
Energy of formation: 0.66 eV/atom

Lattice parameters (Å, degrees): 2.896 2.896 8.681 90.00 90.00 90.00
Space group P4/mmm (No. 123)
Symmetry-distinct sites (fractional):
K 0.000 0.000 0.000 (multiplicity 1)
Cu 0.500 0.500 0.306 (multiplicity 2)
W 0.000 0.000 0.500 (multiplicity 1)



No. 3
Below is an optimized crystal structure of KCuW, with properties calculated at the PBE level.

Summary:
Energy of formation: 1.03 eV/atom

Lattice parameters (Å, degrees): 2.622 4.049 12.833 90.00 90.00 90.00
Space group Imm2 (No. 44)
Symmetry-distinct sites (fractional):
K 0.000 0.000 0.000 (multiplicity 2)
Cu 0.000 0.000 0.705 (multiplicity 2)
W 0.000 0.000 0.275 (multiplicity 2)



No. 4
Below is an optimized crystal structure of KCu2W, with properties calculated at the PBE level.

Summary:
Energy of formation: 1.24 eV/atom

Lattice parameters (Å, degrees): 2.651 6.119 10.931 90.00 90.00 90.00
Space group Immm (No. 71)
Symmetry-distinct sites (fractional):
K 0.000 0.000 0.000 (multiplicity 2)
Cu 0.000 0.500 0.202 (multiplicity 4)
W 0.000 0.000 0.500 (multiplicity 2)



No. 5
Below is an optimized crystal structure of KCu2W, with properties calculated at the PBE level.

Summary:
Energy of formation: 0.82 eV/atom

Lattice parameters (Å, degrees): 2.641 4.310 7.246 90.00 100.47 90.00
Space group Pm (No. 6)
Symmetry-distinct sites (fractional):
K 0.000 0.000 0.000 (multiplicity 1)
Cu 0.658 0.500 0.302 (multiplicity 1)
Cu 0.760 0.000 0.505 (multiplicity 1)
W 0.314 0.500 0.614 (multiplicity 1)



No. 6
Below is an optimized crystal structure of KCuW, with properties calculated at the PBE level.

Summary:
Energy of formation: 2.09 eV/atom

Lattice parameters (Å, degrees): 6.792 6.792 6.792 90.00 90.00 90.00
Space group F-43m (No. 216)
Symmetry-distinct sites (fractional):
K 0.000 0.000 0.000 (multiplicity 4)
Cu 0.250 0.250 0.250 (multiplicity 4)
W 0.000 0.000 0.500 (multiplicity 4)



No. 7
Below is an optimized crystal structure of KCu2W, with properties calculated at the PBE level.

Summary:
Energy of formation: 1.48 eV/atom

Lattice parameters (Å, degrees): 7.296 7.296 6.983 90.00 90.00 90.00
Space group I-42d (No. 122)
Symmetry-distinct sites (fractional):
K 0.000 0.000 0.000 (multiplicity 4)
Cu 0.181 0.750 0.625 (multiplicity 8)
W 0.000 0.000 0.500 (multiplicity 4)



No. 8
Below is an optimized crystal structure of KCuW, with properties calculated at the PBE level.

Summary:
Energy of formation: 2.74 eV/atom

Lattice parameters (Å, degrees): 7.225 7.225 7.225 90.00 90.00 90.00
Space group F-43m (No. 216)
Symmetry-distinct sites (fractional):
K 0.000 0.000 0.000 (multiplicity 4)
Cu 0.250 0.250 0.750 (multiplicity 4)
W 0.250 0.250 0.250 (multiplicity 4)



> energy of formation of number 6 (KCuW)?

2.09 eV/atom



> Which of these has the lowest energy of formation?

number 2